VASP calculation (PBE-GGA) on a relaxed LiAgPd2 crystal.

Unit cell a=3.994 b=3.994 c=7.774 alpha=90.00 beta=90.00 gamma=90.00
Fractional positions:
1 Li 0.000 0.000 0.000
2 Li 0.500 0.500 0.500
3 Ag 0.000 0.500 0.750
4 Ag 0.500 0.000 0.250
5 Pd 0.000 0.000 0.500
6 Pd 0.000 0.500 0.250
7 Pd 0.500 0.000 0.750
8 Pd 0.500 0.500 0.000

Properties
* E_form: -0.2254 eV/atom
* total magnetic moment: 0.0 Bohr magnetons per cell
* electronic total energy: -4.01 eV/atom
* excess energy over the best structure of this formula in the dataset: 15.7 meV per atom
* calculated volume: 62.00 Å³/f.u.


VASP calculation (PBE-GGA) on a relaxed Li3Ag6Pd crystal.

Unit cell a=7.187 b=7.187 c=7.187 alpha=83.09 beta=83.09 gamma=83.09
Fractional positions:
1 Li 0.075 0.750 0.425
2 Li 0.250 0.575 0.925
3 Li 0.425 0.075 0.750
4 Li 0.575 0.925 0.250
5 Li 0.750 0.425 0.075
6 Li 0.925 0.250 0.575
7 Ag 0.077 0.265 0.919
8 Ag 0.081 0.923 0.735
9 Ag 0.235 0.423 0.581
10 Ag 0.265 0.919 0.077
11 Ag 0.419 0.765 0.577
12 Ag 0.423 0.581 0.235
13 Ag 0.577 0.419 0.765
14 Ag 0.581 0.235 0.423
15 Ag 0.735 0.081 0.923
16 Ag 0.765 0.577 0.419
17 Ag 0.919 0.077 0.265
18 Ag 0.923 0.735 0.081
19 Pd 0.250 0.250 0.250
20 Pd 0.750 0.750 0.750

Properties
* E_form: -0.0057 eV/atom
* total magnetic moment: 0.0 Bohr magnetons per cell
* electronic total energy: -2.81 eV/atom
* excess energy over the best structure of this formula in the dataset: 81.3 meV per atom
* calculated volume: 181.85 Å³/f.u.


VASP calculation (PBE-GGA) on a relaxed Li12Ag7Pd crystal.

Unit cell a=7.029 b=7.029 c=7.029 alpha=101.34 beta=101.34 gamma=101.34
Fractional positions:
1 Li 0.001 0.247 0.754
2 Li 0.172 0.595 0.596
3 Li 0.246 0.999 0.753
4 Li 0.247 0.754 0.001
5 Li 0.404 0.828 0.405
6 Li 0.405 0.404 0.828
7 Li 0.595 0.596 0.172
8 Li 0.596 0.172 0.595
9 Li 0.753 0.246 0.999
10 Li 0.754 0.001 0.247
11 Li 0.828 0.405 0.404
12 Li 0.999 0.753 0.246
13 Ag 0.158 0.431 0.159
14 Ag 0.159 0.158 0.431
15 Ag 0.431 0.159 0.158
16 Ag 0.500 0.500 0.500
17 Ag 0.569 0.841 0.842
18 Ag 0.841 0.842 0.569
19 Ag 0.842 0.569 0.841
20 Pd 0.000 0.000 0.000

Properties
* E_form: -0.1569 eV/atom
* total magnetic moment: 0.0 Bohr magnetons per cell
* electronic total energy: -2.56 eV/atom
* calculated volume: 323.72 Å³/f.u.


VASP calculation (PBE-GGA) on a relaxed LiAg14Pd crystal.

Unit cell a=9.533 b=5.823 c=5.823 alpha=60.23 beta=90.00 gamma=90.00
Fractional positions:
1 Li 0.000 0.000 0.000
2 Ag 0.000 0.000 0.501
3 Ag 0.000 0.501 0.000
4 Ag 0.246 0.331 0.832
5 Ag 0.246 0.832 0.331
6 Ag 0.247 0.333 0.333
7 Ag 0.248 0.833 0.833
8 Ag 0.500 0.165 0.165
9 Ag 0.500 0.165 0.666
10 Ag 0.500 0.665 0.665
11 Ag 0.500 0.666 0.165
12 Ag 0.752 0.833 0.833
13 Ag 0.753 0.333 0.333
14 Ag 0.754 0.331 0.832
15 Ag 0.754 0.832 0.331
16 Pd 0.000 0.500 0.500

Properties
* E_form: -0.0234 eV/atom
* total magnetic moment: 0.0 Bohr magnetons per cell
* electronic total energy: -2.96 eV/atom
* calculated volume: 280.62 Å³/f.u.